Computed, not measured: a PBEsol-optimized structure of Tb3Pr at the SCAN level of DFT.

Cell lengths 5.668, 7.137, 7.137 Å; angles 120.00, 90.00, 90.00 degrees
Fractional coordinates of all 8 atoms:
Tb 0.750 0.834 0.668
Tb 0.250 0.166 0.332
Tb 0.250 0.166 0.834
Tb 0.750 0.332 0.166
Tb 0.750 0.834 0.166
Tb 0.250 0.668 0.834
Pr 0.250 0.667 0.333
Pr 0.750 0.333 0.667

Summary:
Energy relative to the lowest polymorph listed for this composition = 0.003 eV per atom